Below is crystalline CoOs2Br at its relaxed geometry, with properties calculated at the PBEsol level.

Cell lengths 2.7797, 3.4836, 6.5821 Å; angles 90.00, 90.00, 90.00 degrees
Last column: nearest neighbours and their distance in Å.
Space group Pmm2 (No. 25)
Inequivalent atoms, fractional coordinates:
Co 0.0000 0.0000 0.0000 [1 per cell]  5 Os 2.53-2.58, 2 Br 2.56, 2 Co 2.78
Os 0.0000 0.0000 0.3844 [1 per cell]  1 Co 2.53, 6 Os 2.54-2.78, 2 Br 2.78
Os 0.5000 0.5000 0.1977 [1 per cell]  6 Os 2.54-2.78, 4 Co 2.58
Br 0.0000 0.5000 0.7145 [1 per cell]  2 Co 2.56, 2 Br 2.78, 2 Os 2.78

- ΔE to the lowest computed polymorph (meV per atom) = 0
- E_tot (Ry per atom) = -0.5723
- crystal system = orthorhombic
- formation energy (no corrections) (meV per atom) = 723

=====

Below is crystalline CoOs2Br at its relaxed geometry, with properties calculated at the PBEsol level.

Cell lengths 5.8689, 6.6357, 2.8341 Å; angles 90.00, 90.00, 90.00 degrees
Last column: nearest neighbours and their distance in Å.
Space group Cmmm (No. 65)
Inequivalent atoms, fractional coordinates:
Co 0.0000 0.0000 0.0000 [2 per cell]  8 Os 2.63, 2 Co 2.83, 2 Br 2.93
Os 0.2500 0.2500 0.5000 [4 per cell]  4 Co 2.63, 4 Br 2.63, 4 Os 2.83-2.93
Br 0.0000 0.5000 0.0000 [2 per cell]  8 Os 2.63, 2 Br 2.83, 2 Co 2.93

- ΔE to the lowest computed polymorph (meV per atom) = 548
- E_tot (Ry per atom) = -0.5321
- crystal system = orthorhombic
- formation energy (no corrections) (meV per atom) = 1270